PBE+U Na2Li2NiP6H24O30, relaxed; energy = -5.712 eV per atom
1.0
10.3030 0.0030 -0.0178
5.1489 8.9241 -0.0178
4.8225 2.7862 13.8999
Na Li Ni P H O
4 4 2 12 48 60
direct
0.1299 0.6417 0.1062 Na
0.3583 0.8701 0.3938 Na
0.8701 0.3583 0.8938 Na
0.6417 0.1299 0.6062 Na
0.7420 0.7691 0.2453 Li
0.2309 0.2580 0.2547 Li
0.2580 0.2309 0.7547 Li
0.7691 0.7420 0.7453 Li
0.7450 0.2550 0.2500 Ni
0.2550 0.7450 0.7500 Ni
0.0922 0.2181 0.4655 P
0.7819 0.9078 0.0345 P
0.9078 0.7819 0.5345 P
0.2181 0.0922 0.9655 P
0.7039 0.7341 0.4588 P
0.2659 0.2961 0.0412 P
0.2961 0.2659 0.5412 P
0.7341 0.7039 0.9588 P
0.7680 0.4129 0.5377 P
0.5871 0.2320 0.9623 P
0.2320 0.5871 0.4623 P
0.4129 0.7680 0.0377 P
0.5975 0.6095 0.2991 H
0.3905 0.4025 0.2009 H
0.4025 0.3905 0.7009 H
0.6095 0.5975 0.7991 H
0.5161 0.7380 0.2209 H
0.2620 0.4839 0.2791 H
0.4839 0.2620 0.7791 H
0.7380 0.5161 0.7209 H
0.8912 0.5058 0.2031 H
0.4942 0.1088 0.2969 H
0.1088 0.4942 0.7969 H
0.5058 0.8912 0.7031 H
0.9539 0.5008 0.2857 H
0.4992 0.0461 0.2143 H
0.0461 0.4992 0.7143 H
0.5008 0.9539 0.7857 H
0.0032 0.8928 0.2066 H
0.1072 0.9968 0.2934 H
0.9968 0.1072 0.7934 H
0.8928 0.0032 0.7066 H
0.9828 0.7637 0.2873 H
0.2363 0.0172 0.2127 H
0.0172 0.2363 0.7127 H
0.7637 0.9828 0.7873 H
0.5468 0.4960 0.1480 H
0.5040 0.4532 0.3520 H
0.4532 0.5040 0.8520 H
0.4960 0.5468 0.6480 H
0.6169 0.3496 0.0985 H
0.6504 0.3831 0.4015 H
0.3831 0.6504 0.9015 H
0.3496 0.6169 0.5985 H
0.6878 0.0123 0.3500 H
0.9877 0.3122 0.1500 H
0.3122 0.9877 0.6500 H
0.0123 0.6878 0.8500 H
0.5664 0.1558 0.4009 H
0.8442 0.4336 0.0991 H
0.4336 0.8442 0.5991 H
0.1558 0.5664 0.9009 H
0.8075 0.0524 0.1474 H
0.9476 0.1925 0.3526 H
0.1925 0.9476 0.8526 H
0.0524 0.8075 0.6474 H
0.9329 0.1173 0.1010 H
0.8827 0.0671 0.3990 H
0.0671 0.8827 0.8990 H
0.1173 0.9329 0.6010 H
0.7604 0.8117 0.3612 O
0.1883 0.2396 0.1388 O
0.2396 0.1883 0.6388 O
0.8117 0.7604 0.8612 O
0.7757 0.5568 0.4514 O
0.4432 0.2243 0.0486 O
0.2243 0.4432 0.5486 O
0.5568 0.7757 0.9514 O
0.5663 0.7202 0.2729 O
0.2798 0.4337 0.2271 O
0.4337 0.2798 0.7271 O
0.7202 0.5663 0.7729 O
0.9188 0.5675 0.2262 O
0.4325 0.0812 0.2738 O
0.0812 0.4325 0.7738 O
0.5675 0.9188 0.7262 O
0.0477 0.7808 0.2253 O
0.2192 0.9523 0.2747 O
0.9523 0.2192 0.7747 O
0.7808 0.0477 0.7253 O
0.6871 0.4678 0.6306 O
0.5322 0.3129 0.8694 O
0.3129 0.5322 0.3694 O
0.4678 0.6871 0.1306 O
0.0548 0.2793 0.3660 O
0.7207 0.9452 0.1340 O
0.9452 0.7207 0.6340 O
0.2793 0.0548 0.8660 O
0.5348 0.7975 0.4964 O
0.2025 0.4652 0.0036 O
0.4652 0.2025 0.5036 O
0.7975 0.5348 0.9964 O
0.7140 0.3307 0.5025 O
0.6693 0.2860 0.9975 O
0.2860 0.6693 0.4975 O
0.3307 0.7140 0.0025 O
0.2142 0.2764 0.4615 O
0.7236 0.7858 0.0385 O
0.7858 0.7236 0.5385 O
0.2764 0.2142 0.9615 O
0.1541 0.0492 0.5028 O
0.9508 0.8459 0.9972 O
0.8459 0.9508 0.4972 O
0.0492 0.1541 0.0028 O
0.9484 0.3090 0.5430 O
0.6910 0.0516 0.9570 O
0.0516 0.6910 0.4570 O
0.3090 0.9484 0.0430 O
0.5821 0.3822 0.1621 O
0.6178 0.4179 0.3379 O
0.4179 0.6178 0.8379 O
0.3822 0.5821 0.6621 O
0.6260 0.1255 0.3366 O
0.8745 0.3740 0.1634 O
0.3740 0.8745 0.6634 O
0.1255 0.6260 0.8366 O
0.8670 0.0912 0.1630 O
0.9088 0.1330 0.3370 O
0.1330 0.9088 0.8370 O
0.0912 0.8670 0.6630 O